(1)
DFT (PBE) results for TaAuO after structural relaxation.

Cell lengths 5.257, 3.356, 6.283 Å; angles 90.00, 100.00, 90.00 degrees
Space group P2_1/m (No. 11)
Asymmetric unit:
Ta  0.215  0.250  0.474 (multiplicity 2)
Au  0.445  0.750  0.818 (multiplicity 2)
O  0.087  0.750  0.322 (multiplicity 2)

Values from the calculation:
The calculation puts the total magnetization at 0.000 μB/atom. The calculation puts the raw total energy at -7.663 eV/atom. The volume comes out at 109.2 Å³ per cell.


(2)
DFT (PBE) results for TaMoW2 after structural relaxation.

Cell lengths 5.375, 9.313, 2.703 Å; angles 90.00, 90.00, 90.00 degrees
Space group Cmmm (No. 65)
Asymmetric unit:
Ta  0.000  0.000  0.000 (multiplicity 2)
Mo  0.000  0.500  0.000 (multiplicity 2)
W  0.250  0.250  0.500 (multiplicity 4)

Values from the calculation:
The calculation puts the total magnetization at 0.000 μB/atom. The calculation puts the raw total energy at -11.881 eV/atom. The value obtained for the polymorph energy (0 for the lowest one) is 398 meV/atom. The volume comes out at 135.3 Å³ per cell. Its calculated formation energy is 266 meV/atom.


- Look up the raw total energy of the first one.
  -7.663 eV/atom


- Which value of raw total energy does entry 1 give?
  -7.663 eV/atom